[1]
Computed, not measured: a relaxed CaTc2Os crystal at the PBE-GGA level of DFT.

```
data_CaTc2Os
_chemical_formula_sum 'Ca1 Tc2 Os1'
_space_group_name_H-M_alt 'P 1'
_space_group_IT_number 1
_space_group_name_Hall 'P 1'
_cell_length_a 5.787
_cell_length_b 5.787
_cell_length_c 5.787
_cell_angle_alpha 151.45
_cell_angle_beta 131.02
_cell_angle_gamma 57.68
loop_
_atom_site_label
_atom_site_fract_x
_atom_site_fract_y
_atom_site_fract_z
Ca1 0.250 0.750 0.500
Tc1 0.964 0.964 0.000
Tc2 0.536 0.536 0.000
Os1 0.750 0.250 0.500
```

Output
- Offset from the most stable computed form: 6.0 kJ per mole of atoms
- Density: 10198 kg/m³
- SG: Immm

[2]
Computed, not measured: a relaxed CaTcOs3 crystal at the PBE-GGA level of DFT.

```
data_CaTcOs3
_chemical_formula_sum 'Ca1 Tc1 Os3'
_space_group_name_H-M_alt 'P 1'
_space_group_IT_number 1
_space_group_name_Hall 'P 1'
_cell_length_a 4.527
_cell_length_b 4.527
_cell_length_c 4.527
_cell_angle_alpha 90.00
_cell_angle_beta 90.00
_cell_angle_gamma 90.00
loop_
_atom_site_label
_atom_site_fract_x
_atom_site_fract_y
_atom_site_fract_z
Os1 0.000 0.000 0.500
Os2 0.500 0.000 0.000
Os3 0.000 0.500 0.000
Ca1 0.000 0.000 0.000
Tc1 0.500 0.500 0.500
```

Output
- Offset from the most stable computed form: 177.8 kJ per mole of atoms
- Density: 12688 kg/m³
- SG: Pm-3m

Number 1: ΔE_f 0.47 eV per atom, total moment 0.000 Bohr magnetons per cell, uncorrected energy -8.02 eV/atom. Number 2: ΔE_f 3.31 eV per atom, total moment 0.000 Bohr magnetons per cell, uncorrected energy -5.90 eV/atom.